Computed, not measured: a relaxed structure of Mn9CdO10 at the GGA+U level of DFT.

As for the density of states at the Fermi level: 2.5 states/eV per cell. The value obtained for the size of the total moment is 45.000 μB/f.u. The calculation puts the raw total energy at -7.43 eV/atom.

Lattice parameters (Å, degrees): 8.4996 8.4996 5.5664 96.30 96.30 141.77
Positions (direct):
Mn: 0.0000 0.0000 0.0000
Mn: 0.1009 0.8991 0.5000
Mn: 0.2014 0.7986 0.0000
Mn: 0.2992 0.7008 0.5000
Mn: 0.3992 0.6008 0.0000
Mn: 0.6008 0.3992 0.0000
Mn: 0.7008 0.2992 0.5000
Mn: 0.7986 0.2014 0.0000
Mn: 0.8991 0.1009 0.5000
Cd: 0.5000 0.5000 0.5000
O: 0.0522 0.4512 0.7487
O: 0.1393 0.3477 0.2436
O: 0.2405 0.2405 0.7595
O: 0.3477 0.1393 0.2436
O: 0.4512 0.0522 0.7487
O: 0.5488 0.9478 0.2513
O: 0.6523 0.8607 0.7564
O: 0.7595 0.7595 0.2405
O: 0.8607 0.6523 0.7564
O: 0.9478 0.5488 0.2513